# 1
Here is Cr3CuI after structural relaxation from Alexandria. Energies are from GGA-PBE.

abc: 4.8298 4.8298 4.8298
angles: 90.00 90.00 90.00
Fractional coordinates of all 5 atoms:
Cr1 0.0000 0.0000 0.5000
Cr2 0.0000 0.5000 0.0000
Cr3 0.5000 0.0000 0.0000
Cu1 0.0000 0.0000 0.0000
I1 0.5000 0.5000 0.5000

Summary:
E above lowest polymorph (kJ/mol of formula units): 0.0
Space-group type: Pm-3m, No. 221
N(E_F) (states/eV/f.u.): 5.3

---

# 2
Here is Be3PdS after structural relaxation from Alexandria. Energies are from GGA-PBE.

abc: 4.2642 4.2642 4.2642
angles: 90.00 90.00 90.00
Fractional coordinates of all 5 atoms:
Be1 0.0000 0.0000 0.5000
Be2 0.0000 0.5000 0.0000
Be3 0.5000 0.0000 0.0000
Pd1 0.0000 0.0000 0.0000
S1 0.5000 0.5000 0.5000

Summary:
E above lowest polymorph (kJ/mol of formula units): 66.7
Space-group type: Pm-3m, No. 221
N(E_F) (states/eV/f.u.): 2.2

---

What is the N(E_F) in the first record? 5.3 states/eV/f.u.

---

The lowest N(E_F) belongs to which entry? Be3PdS